*A*
Below is a relaxed K2MgAs2 crystal, with properties calculated at the PBE level.

Unit cell a=7.1356 b=7.1356 c=5.4828 alpha=90.00 beta=90.00 gamma=90.00
Space group P4/mbm (No. 127)
Asymmetric unit:
K: 0.1676 0.3324 0.0000
Mg: 0.0000 0.0000 0.5000
As: 0.1271 0.6271 0.5000

Total magnetization = 0.000 μB per formula unit


*B*
Below is a relaxed K2MgAs2 crystal, with properties calculated at the PBE level.

Unit cell a=3.3884 b=3.3884 c=15.2888 alpha=90.00 beta=90.00 gamma=90.00
Space group P4/mmm (No. 123)
Asymmetric unit:
K: 0.0000 0.0000 0.1341
Mg: 0.0000 0.0000 0.5000
As: 0.0000 0.0000 0.3360

Total magnetization = 0.000 μB per formula unit


Most stable = *A*


*A*
Below is a relaxed K2MgAs crystal, with properties calculated at the PBE level.

Unit cell a=4.7147 b=4.7147 c=23.6851 alpha=90.00 beta=90.00 gamma=90.00
Space group I-42d (No. 122)
Asymmetric unit:
K: 0.2303 0.2500 0.1250
Mg: 0.0000 0.0000 0.5000
As: 0.0000 0.0000 0.0000

Total magnetization = 0.000 μB per formula unit


*B*
Below is a relaxed K2MgAs crystal, with properties calculated at the PBE level.

Unit cell a=4.3573 b=5.8811 c=11.2431 alpha=90.00 beta=90.00 gamma=90.00
Space group Imm2 (No. 44)
Asymmetric unit:
K: 0.0000 0.0000 0.0000
K: 0.0000 0.5000 0.1853
Mg: 0.0000 0.5000 0.8129
As: 0.0000 0.0000 0.4356

Total magnetization = 0.586 μB per formula unit


Most stable = *B*


*A*
Below is a relaxed K2MgAs crystal, with properties calculated at the PBE level.

Unit cell a=7.1463 b=9.5644 c=3.7746 alpha=90.00 beta=90.00 gamma=90.00
Space group Cmmm (No. 65)
Asymmetric unit:
K: 0.2500 0.2500 0.0000
Mg: 0.0000 0.0000 0.5000
As: 0.0000 0.5000 0.5000

Total magnetization = 0.001 μB per formula unit


*B*
Below is a relaxed K2MgAs crystal, with properties calculated at the PBE level.

Unit cell a=5.0079 b=5.0079 c=9.9285 alpha=90.00 beta=90.00 gamma=90.00
Space group I4/mmm (No. 139)
Asymmetric unit:
K: 0.0000 0.5000 0.2500
Mg: 0.0000 0.0000 0.0000
As: 0.0000 0.0000 0.5000

Total magnetization = 0.000 μB per formula unit


*C*
Below is a relaxed K2MgAs crystal, with properties calculated at the PBE level.

Unit cell a=3.8936 b=3.8936 c=10.0664 alpha=90.00 beta=90.00 gamma=90.00
Space group P4mm (No. 99)
Asymmetric unit:
K: 0.0000 0.0000 0.0000
K: 0.5000 0.5000 0.3947
Mg: 0.0000 0.0000 0.6838
As: 0.5000 0.5000 0.7289

Total magnetization = 0.000 μB per formula unit


Most stable = *C*


*A*
Below is a relaxed KMn3As crystal, with properties calculated at the PBE level.

Unit cell a=4.8698 b=4.8698 c=4.8698 alpha=90.00 beta=90.00 gamma=90.00
Space group Pm-3m (No. 221)
Asymmetric unit:
K: 0.0000 0.0000 0.0000
Mn: 0.0000 0.5000 0.5000
As: 0.5000 0.5000 0.5000

Total magnetization = 11.030 μB per formula unit


*B*
Below is a relaxed KMn3As crystal, with properties calculated at the PBE level.

Unit cell a=4.8365 b=4.8365 c=4.8365 alpha=90.00 beta=90.00 gamma=90.00
Space group Pm-3m (No. 221)
Asymmetric unit:
K: 0.0000 0.0000 0.0000
Mn: 0.0000 0.0000 0.5000
As: 0.5000 0.5000 0.5000

Total magnetization = 12.064 μB per formula unit


Most stable = *A*


*A*
Below is a relaxed KMnAsSe2 crystal, with properties calculated at the PBE level.

Unit cell a=5.0869 b=5.0869 c=4.7279 alpha=90.00 beta=90.00 gamma=90.00
Space group P4/mmm (No. 123)
Asymmetric unit:
K: 0.0000 0.0000 0.0000
Mn: 0.5000 0.5000 0.5000
As: 0.5000 0.5000 0.0000
Se: 0.0000 0.5000 0.5000

Total magnetization = 2.839 μB per formula unit


*B*
Below is a relaxed KMnAsSe2 crystal, with properties calculated at the PBE level.

Unit cell a=5.5534 b=5.5534 c=5.3555 alpha=90.00 beta=90.00 gamma=90.00
Space group P4/mmm (No. 123)
Asymmetric unit:
K: 0.0000 0.0000 0.0000
Mn: 0.5000 0.5000 0.5000
As: 0.0000 0.0000 0.5000
Se: 0.0000 0.5000 0.0000

Total magnetization = 4.251 μB per formula unit


Most stable = *A*


*A*
Below is a relaxed KMoAs2Se crystal, with properties calculated at the PBE level.

Unit cell a=4.9244 b=4.9244 c=5.2171 alpha=90.00 beta=90.00 gamma=90.00
Space group P4/mmm (No. 123)
Asymmetric unit:
K: 0.0000 0.0000 0.0000
Mo: 0.5000 0.5000 0.5000
As: 0.0000 0.5000 0.5000
Se: 0.5000 0.5000 0.0000

Total magnetization = 0.000 μB per formula unit


*B*
Below is a relaxed KMoAs2Se crystal, with properties calculated at the PBE level.

Unit cell a=5.0994 b=5.0994 c=5.2569 alpha=90.00 beta=90.00 gamma=90.00
Space group P4/mmm (No. 123)
Asymmetric unit:
K: 0.0000 0.0000 0.0000
Mo: 0.5000 0.5000 0.5000
As: 0.0000 0.5000 0.0000
Se: 0.0000 0.0000 0.5000

Total magnetization = 0.000 μB per formula unit


Most stable = *A*